An optimized crystal structure of Pm10TmTh4, computed with GGA-PBE.

Cell: 9.855 9.855 10.747 Å, 90.00 90.00 90.00°
Space group I4/m (No. 87)
Symmetry-distinct sites (fractional):
Pm1 0.000 0.500 0.250 (multiplicity 4)
Pm2 0.117 0.210 0.159 (multiplicity 16)
Tm1 0.000 0.000 0.500 (multiplicity 2)
Th1 0.059 0.334 0.500 (multiplicity 8)

As for the calculated total energy: -5.07 eV per atom. The value obtained for the formation energy is 0.37 eV/atom. The value obtained for the density of states at the Fermi level is 24.2 states/eV/f.u. The total magnetic moment comes out at 0.00 μB/atom.